# 1
# Dy6BiAs3S2, relaxed, DFT GGA-PBE
data_Dy6BiAs3S2
_chemical_formula_sum 'Dy12 Bi2 As6 S4'
_symmetry_space_group_name_H-M 'C 1 2/m 1'
_symmetry_Int_Tables_number 12
_cell_length_a 17.9163
_cell_length_b 4.1209
_cell_length_c 8.2567
_cell_angle_alpha 90.00
_cell_angle_beta 103.23
_cell_angle_gamma 90.00
loop_
_symmetry_equiv_pos_as_xyz
'x,y,z'
'-x,-y,-z'
'-x,y,-z'
'x,-y,z'
'x+1/2,y+1/2,z'
'-x+1/2,-y+1/2,-z'
'-x+1/2,y+1/2,-z'
'x+1/2,-y+1/2,z'
loop_
_atom_site_label
_atom_site_type_symbol
_atom_site_fract_x
_atom_site_fract_y
_atom_site_fract_z
Dy1 Dy 0.0026 0.0000 0.2691
Dy2 Dy 0.1676 0.5000 0.5847
Dy3 Dy 0.1745 0.5000 0.0870
Bi1 Bi 0.0000 0.5000 0.0000
As1 As 0.0000 0.5000 0.5000
As2 As 0.1643 0.0000 0.8305
S1 S 0.1699 0.0000 0.3381
# mass density	8.24	g/cm3
# raw formation energy	-1555	meV/atom
# calculated volume	593.4	Å³ per cell

# 2
# Tm2ThMnC4, relaxed, DFT GGA-PBE
data_Tm2ThMnC4
_chemical_formula_sum 'Tm8 Th4 Mn4 C16'
_symmetry_space_group_name_H-M 'C m c m'
_symmetry_Int_Tables_number 63
_symmetry_space_group_name_Hall '-C 2c 2'
_cell_length_a 3.4550
_cell_length_b 11.7472
_cell_length_c 11.7303
_cell_angle_alpha 90.00
_cell_angle_beta 90.00
_cell_angle_gamma 90.00
loop_
_atom_site_label
_atom_site_type_symbol
_atom_site_fract_x
_atom_site_fract_y
_atom_site_fract_z
Tm1 Tm 0.0000 0.1308 0.0448
Th1 Th 0.0000 0.4115 0.2500
Mn1 Mn 0.0000 0.3259 0.7500
C1 C 0.0000 0.0893 0.2500
C2 C 0.0000 0.2330 0.6331
C3 C 0.0000 0.5000 0.0000
# formation enthalpy at 0 K	-0.174	eV per atom
# mass density	9.39	g/cm3
# calculated volume	476.1	Å³ per cell

# 3
# TaMo2Cl, relaxed, DFT GGA-PBE
data_TaMo2Cl
_chemical_formula_sum 'Ta2 Mo4 Cl2'
_symmetry_space_group_name_H-M 'C m m m'
_symmetry_Int_Tables_number 65
_symmetry_space_group_name_Hall '-C 2 2'
_cell_length_a 3.2189
_cell_length_b 4.8428
_cell_length_c 8.7130
_cell_angle_alpha 90.00
_cell_angle_beta 90.00
_cell_angle_gamma 90.00
loop_
_atom_site_label
_atom_site_type_symbol
_atom_site_fract_x
_atom_site_fract_y
_atom_site_fract_z
Ta1 Ta 0.0000 0.0000 0.0000
Mo1 Mo 0.0000 0.5000 0.2468
Cl1 Cl 0.0000 0.0000 0.5000
# mass density	9.98	g/cm3
# raw formation energy	249	meV/atom
# calculated volume	135.8	Å³ per cell

# 4
# Hf2Nb2Sn, relaxed, DFT GGA-PBE
data_Hf2Nb2Sn
_chemical_formula_sum 'Hf4 Nb4 Sn2'
_symmetry_space_group_name_H-M 'P 4/m b m'
_symmetry_Int_Tables_number 127
_symmetry_space_group_name_Hall '-P 4 2ab'
_cell_length_a 7.3121
_cell_length_b 7.3121
_cell_length_c 3.9971
_cell_angle_alpha 90.00
_cell_angle_beta 90.00
_cell_angle_gamma 90.00
loop_
_atom_site_label
_atom_site_type_symbol
_atom_site_fract_x
_atom_site_fract_y
_atom_site_fract_z
Hf1 Hf 0.1716 0.3284 0.0000
Nb1 Nb 0.1274 0.6274 0.5000
Sn1 Sn 0.0000 0.0000 0.5000
# formation enthalpy at 0 K	0.062	eV per atom
# mass density	10.28	g/cm3
# calculated volume	213.7	Å³ per cell

# 5
# KMgAg2, relaxed, DFT GGA-PBE
data_KMgAg2
_chemical_formula_sum 'K4 Mg4 Ag8'
_symmetry_space_group_name_H-M 'F -4 3 m'
_symmetry_Int_Tables_number 216
_symmetry_space_group_name_Hall 'F -4 2 3'
_cell_length_a 7.3152
_cell_length_b 7.3152
_cell_length_c 7.3152
_cell_angle_alpha 90.00
_cell_angle_beta 90.00
_cell_angle_gamma 90.00
loop_
_atom_site_label
_atom_site_type_symbol
_atom_site_fract_x
_atom_site_fract_y
_atom_site_fract_z
K1 K 0.0000 0.0000 0.0000
Mg1 Mg 0.2500 0.2500 0.2500
Ag1 Ag 0.0000 0.0000 0.5000
Ag2 Ag 0.2500 0.2500 0.7500
# formation enthalpy at 0 K	0.208	eV per atom
# mass density	4.74	g/cm3
# calculated volume	391.5	Å³ per cell

# 6
# CuReSe2, relaxed, DFT GGA-PBE
data_CuReSe2
_chemical_formula_sum 'Cu4 Re4 Se8'
_symmetry_space_group_name_H-M 'F m -3 m'
_symmetry_Int_Tables_number 225
_symmetry_space_group_name_Hall '-F 4 2 3'
_cell_length_a 6.2823
_cell_length_b 6.2823
_cell_length_c 6.2823
_cell_angle_alpha 90.00
_cell_angle_beta 90.00
_cell_angle_gamma 90.00
loop_
_atom_site_label
_atom_site_type_symbol
_atom_site_fract_x
_atom_site_fract_y
_atom_site_fract_z
Cu1 Cu 0.0000 0.0000 0.0000
Re1 Re 0.0000 0.0000 0.5000
Se1 Se 0.2500 0.2500 0.2500
# mass density	10.92	g/cm3
# raw formation energy	424	meV/atom
# calculated volume	247.9	Å³ per cell

# 7
# Nd12Dy6Tm, relaxed, DFT GGA-PBE
data_Nd12Dy6Tm
_chemical_formula_sum 'Nd36 Dy18 Tm3'
_symmetry_space_group_name_H-M 'R -3'
_symmetry_Int_Tables_number 148
_symmetry_space_group_name_Hall '-R 3'
_cell_length_a 14.8614
_cell_length_b 14.8614
_cell_length_c 10.4875
_cell_angle_alpha 90.00
_cell_angle_beta 90.00
_cell_angle_gamma 120.00
loop_
_atom_site_label
_atom_site_type_symbol
_atom_site_fract_x
_atom_site_fract_y
_atom_site_fract_z
Nd1 Nd 0.0509 0.7986 0.0772
Nd2 Nd 0.0656 0.8359 0.4210
Dy1 Dy 0.0493 0.8403 0.7591
Tm1 Tm 0.0000 0.0000 0.0000
# formation enthalpy at 0 K	0.236	eV per atom
# mass density	7.14	g/cm3
# calculated volume	2006.0	Å³ per cell

# 8
# Lu2ZnAg, relaxed, DFT GGA-PBE
data_Lu2ZnAg
_chemical_formula_sum 'Lu6 Zn3 Ag3'
_symmetry_space_group_name_H-M 'R -3 m'
_symmetry_Int_Tables_number 166
_symmetry_space_group_name_Hall '-R 3 2"'
_cell_length_a 3.3010
_cell_length_b 3.3010
_cell_length_c 31.0485
_cell_angle_alpha 90.00
_cell_angle_beta 90.00
_cell_angle_gamma 120.00
loop_
_atom_site_label
_atom_site_type_symbol
_atom_site_fract_x
_atom_site_fract_y
_atom_site_fract_z
Lu1 Lu 0.0000 0.0000 0.0938
Zn1 Zn 0.0000 0.0000 0.5000
Ag1 Ag 0.0000 0.0000 0.0000
# formation enthalpy at 0 K	0.140	eV per atom
# mass density	8.90	g/cm3
# calculated volume	293.0	Å³ per cell

# 9
# Ba2Cd, relaxed, DFT GGA-PBE
data_Ba2Cd
_chemical_formula_sum 'Ba2 Cd1'
_symmetry_space_group_name_H-M 'P -3 m 1'
_symmetry_Int_Tables_number 164
_symmetry_space_group_name_Hall '-P 3 2"'
_cell_length_a 5.8349
_cell_length_b 5.8349
_cell_length_c 4.7122
_cell_angle_alpha 90.00
_cell_angle_beta 90.00
_cell_angle_gamma 120.00
loop_
_atom_site_label
_atom_site_type_symbol
_atom_site_fract_x
_atom_site_fract_y
_atom_site_fract_z
Ba1 Ba 0.3333 0.6667 0.2289
Cd1 Cd 0.0000 0.0000 0.5000
# formation enthalpy at 0 K	-0.091	eV per atom
# mass density	4.63	g/cm3
# calculated volume	138.9	Å³ per cell

# 10
# Sc3TcN4, relaxed, DFT GGA-PBE
data_Sc3TcN4
_chemical_formula_sum 'Sc6 Tc2 N8'
_symmetry_space_group_name_H-M 'P 1 2/c 1'
_symmetry_Int_Tables_number 13
_cell_length_a 5.4273
_cell_length_b 6.2835
_cell_length_c 5.4236
_cell_angle_alpha 90.00
_cell_angle_beta 109.27
_cell_angle_gamma 90.00
loop_
_symmetry_equiv_pos_as_xyz
'x,y,z'
'-x,-y,-z'
'-x,y,-z+1/2'
'x,-y,z+1/2'
loop_
_atom_site_label
_atom_site_type_symbol
_atom_site_fract_x
_atom_site_fract_y
_atom_site_fract_z
Sc1 Sc 0.0000 0.1243 0.2500
Sc2 Sc 0.0000 0.3732 0.7500
Sc3 Sc 0.5000 0.3725 0.2500
Tc1 Tc 0.5000 0.1186 0.7500
N1 N 0.2520 0.1248 0.9996
N2 N 0.2521 0.3731 0.4995
# mass density	5.50	g/cm3
# raw formation energy	-1410	meV/atom
# calculated volume	174.6	Å³ per cell

# 11
# Ca2CdSn2, relaxed, DFT GGA-PBE
data_Ca2CdSn2
_chemical_formula_sum 'Ca4 Cd2 Sn4'
_symmetry_space_group_name_H-M 'I 4/m m m'
_symmetry_Int_Tables_number 139
_symmetry_space_group_name_Hall '-I 4 2'
_cell_length_a 6.1869
_cell_length_b 6.1869
_cell_length_c 8.9204
_cell_angle_alpha 90.00
_cell_angle_beta 90.00
_cell_angle_gamma 90.00
loop_
_atom_site_label
_atom_site_type_symbol
_atom_site_fract_x
_atom_site_fract_y
_atom_site_fract_z
Ca1 Ca 0.0000 0.5000 0.2500
Cd1 Cd 0.0000 0.0000 0.0000
Sn1 Sn 0.0000 0.0000 0.3371
# formation enthalpy at 0 K	-0.186	eV per atom
# mass density	4.18	g/cm3
# calculated volume	341.5	Å³ per cell

# 12
# ZrTl3F7, relaxed, DFT GGA-PBE
data_ZrTl3F7
_chemical_formula_sum 'Zr3 Tl9 F21'
_symmetry_space_group_name_H-M 'R 3 m'
_symmetry_Int_Tables_number 160
_symmetry_space_group_name_Hall 'R 3 -2"'
_cell_length_a 8.2619
_cell_length_b 8.2619
_cell_length_c 11.1828
_cell_angle_alpha 90.00
_cell_angle_beta 90.00
_cell_angle_gamma 120.00
loop_
_atom_site_label
_atom_site_type_symbol
_atom_site_fract_x
_atom_site_fract_y
_atom_site_fract_z
Zr1 Zr 0.0000 0.0000 0.0000
Tl1 Tl 0.1747 0.3493 0.2941
F1 F 0.0000 0.0000 0.1943
F2 F 0.0483 0.5241 0.7194
F3 F 0.2200 0.4400 0.5500
# mass density	6.31	g/cm3
# raw formation energy	-2707	meV/atom
# calculated volume	661.1	Å³ per cell

> Among the records above, which one has the highest calculated volume?

Nd12Dy6Tm

> Look up the calculated volume of the sixth one.

247.9 Å³ per cell

> Look up the mass density of the ninth one.

4.63 g/cm3

What did the first record say?
# Dy6BiAs3S2, relaxed, DFT GGA-PBE
data_Dy6BiAs3S2
_chemical_formula_sum 'Dy12 Bi2 As6 S4'
_symmetry_space_group_name_H-M 'C 1 2/m 1'
_symmetry_Int_Tables_number 12
_cell_length_a 17.9163
_cell_length_b 4.1209
_cell_length_c 8.2567
_cell_angle_alpha 90.00
_cell_angle_beta 103.23
_cell_angle_gamma 90.00
loop_
_symmetry_equiv_pos_as_xyz
'x,y,z'
'-x,-y,-z'
'-x,y,-z'
'x,-y,z'
'x+1/2,y+1/2,z'
'-x+1/2,-y+1/2,-z'
'-x+1/2,y+1/2,-z'
'x+1/2,-y+1/2,z'
loop_
_atom_site_label
_atom_site_type_symbol
_atom_site_fract_x
_atom_site_fract_y
_atom_site_fract_z
Dy1 Dy 0.0026 0.0000 0.2691
Dy2 Dy 0.1676 0.5000 0.5847
Dy3 Dy 0.1745 0.5000 0.0870
Bi1 Bi 0.0000 0.5000 0.0000
As1 As 0.0000 0.5000 0.5000
As2 As 0.1643 0.0000 0.8305
S1 S 0.1699 0.0000 0.3381
# mass density	8.24	g/cm3
# raw formation energy	-1555	meV/atom
# calculated volume	593.4	Å³ per cell